An optimized crystal structure of YFeO3. Source: the Alexandria database, functional GGA+U.

Output
- Space group: Pm-3m (221)
- Mass density: 4.16 g/cm³
- Raw total energy: -0.4693 Ry per atom

Cell: 4.252 4.252 4.252 Å, 90.00 90.00 90.00°
Each line ends with the local moment (μB).
Atoms (fractional coordinates):
1 Y 0.000 0.000 0.000  0.01
2 O 0.000 0.000 0.500  0.36
3 O 0.500 0.000 0.000  0.20
4 O 0.000 0.500 0.000  0.29
5 Fe 0.500 0.500 0.500  3.99